First-principles (PBE) data for an optimized crystal structure of Zr2Ag, as listed in the Alexandria database.

Results
* total moment: 0.00 μB/f.u.
* DOS at the Fermi energy: 0.934 states/eV per atom
* density: 7.30 g/cm³
* ΔE_f: 8.94 kcal/mol of atoms

a b c (Å): 5.7157 5.7157 5.7157
angles (deg): 60.00 60.00 60.00
With the nearest neighbours (Å) after each atom.
Sites, in units of the cell vectors:
Zr 0.0000 0.0000 0.0000  6 Zr 2.86
Zr 0.0000 0.0000 0.5000  6 Zr 2.86
Zr 0.0000 0.5000 0.0000  6 Zr 2.86
Zr 0.5000 0.0000 0.0000  6 Zr 2.86
Ag 0.3750 0.3750 0.3750  12 Zr 3.35, 4 Ag 3.50
Ag 0.6250 0.6250 0.6250  12 Zr 3.35, 4 Ag 3.50

=====

First-principles (PBE) data for an optimized crystal structure of CaMo3Au, as listed in the Alexandria database.

Results
* total moment: 0.00 μB/f.u.
* DOS at the Fermi energy: 1.095 states/eV per atom
* density: 9.04 g/cm³
* ΔE_f: 58.13 kcal/mol of atoms

a b c (Å): 4.5858 4.5858 4.5858
angles (deg): 90.00 90.00 90.00
With the nearest neighbours (Å) after each atom.
Sites, in units of the cell vectors:
Ca 0.0000 0.0000 0.0000  6 Mo 2.29
Mo 0.0000 0.0000 0.5000  2 Ca 2.29
Mo 0.0000 0.5000 0.0000  2 Ca 2.29
Mo 0.5000 0.0000 0.0000  2 Ca 2.29
Au 0.5000 0.5000 0.5000  12 Mo 3.24

=====

For the records above, the corresponding volume values read 22.006, 19.287 Å³ per atom.